Density functional theory data (meta-GGA SCAN) for a crystal of K8Li relaxed with PBEsol.

Geometry as CIF:
```
data_K8Li
_chemical_formula_sum 'K16 Li2'
_cell_length_a 13.491
_cell_length_b 13.491
_cell_length_c 6.380
_cell_angle_alpha 90.00
_cell_angle_beta 90.00
_cell_angle_gamma 90.00
_symmetry_space_group_name_H-M 'I 4/m m m'
_symmetry_Int_Tables_number 139
_symmetry_space_group_name_Hall '-I 4 2'
loop_
_atom_site_label
_atom_site_type_symbol
_atom_site_fract_x
_atom_site_fract_y
_atom_site_fract_z
K1 K 0.000 0.323 0.000
K2 K 0.157 0.157 0.500
Li1 Li 0.000 0.000 0.000
```

Calculated values
Energy relative to the elements (eV per formula unit): 0.41

---

Density functional theory data (meta-GGA SCAN) for a crystal of KLiLu2Mo4O16 relaxed with PBEsol.

Geometry as CIF:
```
data_KLiLu2Mo4O16
_chemical_formula_sum 'K4 Li4 Lu8 Mo16 O64'
_cell_length_a 5.088
_cell_length_b 12.281
_cell_length_c 19.288
_cell_angle_alpha 90.00
_cell_angle_beta 93.76
_cell_angle_gamma 90.00
_symmetry_space_group_name_H-M 'C 1 2/c 1'
_symmetry_Int_Tables_number 15
_symmetry_space_group_name_Hall '-C 2yc'
loop_
_atom_site_label
_atom_site_type_symbol
_atom_site_fract_x
_atom_site_fract_y
_atom_site_fract_z
K1 K 0.000 0.032 0.250
Li1 Li 0.000 0.315 0.250
Lu1 Lu 0.002 0.147 0.469
Mo1 Mo 0.011 0.255 0.645
Mo2 Mo 0.018 0.438 0.091
O1 O 0.118 0.411 0.330
O2 O 0.138 0.134 0.830
O3 O 0.170 0.331 0.041
O4 O 0.189 0.236 0.565
O5 O 0.225 0.448 0.600
O6 O 0.227 0.295 0.713
O7 O 0.234 0.019 0.536
O8 O 0.246 0.152 0.129
```

Calculated values
ΔE_f (raw) (eV/atom): -2.652

---

Density functional theory data (meta-GGA SCAN) for a crystal of K2LiMg relaxed with PBEsol.

Geometry as CIF:
```
data_K2LiMg
_chemical_formula_sum 'K6 Li3 Mg3'
_cell_length_a 4.0563
_cell_length_b 4.0563
_cell_length_c 35.2182
_cell_angle_alpha 90.00
_cell_angle_beta 90.00
_cell_angle_gamma 120.00
_symmetry_space_group_name_H-M 'R 3 m'
_symmetry_Int_Tables_number 160
_symmetry_space_group_name_Hall 'R 3 -2"'
loop_
_atom_site_label
_atom_site_type_symbol
_atom_site_fract_x
_atom_site_fract_y
_atom_site_fract_z
K1 K 0.0000 0.0000 0.0000
K2 K 0.0000 0.0000 0.2196
Li1 Li 0.0000 0.0000 0.7499
Mg1 Mg 0.0000 0.0000 0.4689
```

Calculated values
Energy relative to the elements (eV per formula unit): 0.91

---

Density functional theory data (meta-GGA SCAN) for a crystal of KLiMg2 relaxed with PBEsol.

Geometry as CIF:
```
data_KLiMg2
_chemical_formula_sum 'K4 Li4 Mg8'
_cell_length_a 5.630
_cell_length_b 5.630
_cell_length_c 20.567
_cell_angle_alpha 90.00
_cell_angle_beta 90.00
_cell_angle_gamma 90.00
_symmetry_space_group_name_H-M 'I -4 2 d'
_symmetry_Int_Tables_number 122
_symmetry_space_group_name_Hall 'I -4 2bw'
loop_
_atom_site_label
_atom_site_type_symbol
_atom_site_fract_x
_atom_site_fract_y
_atom_site_fract_z
K1 K 0.000 0.000 0.000
Li1 Li 0.000 0.000 0.500
Mg1 Mg 0.029 0.250 0.625
```

Calculated values
Energy relative to the elements (eV per formula unit): 1.43

---

Size of the total moment? In order: 0.11; 0.00; 0.03; 0.21 μB per cell.